AgHIr: optimized geometry, PBE.

Values from the calculation:
SG	P-1, No. 2
total moment	0.000	μB per formula unit
uncorrected energy	-28.554	eV per cell
DOS(E_F)	3.2	states/eV/cell

Lattice parameters (Å, degrees): 2.837 3.599 7.147 90.21 90.12 90.16
Fractional positions:
Ag 0.250 0.248 0.146
Ag 0.750 0.752 0.854
H 0.248 0.253 0.824
H 0.752 0.747 0.176
Ir 0.250 0.251 0.593
Ir 0.750 0.749 0.407



AgHIr3: optimized geometry, PBE.

Values from the calculation:
SG	Pm-3m, No. 221
total moment	4.095	μB per formula unit
uncorrected energy	-17.465	eV per cell
DOS(E_F)	11.2	states/eV/cell

Lattice parameters (Å, degrees): 4.868 4.868 4.868 90.00 90.00 90.00
Fractional positions:
Ag 0.000 0.000 0.000
H 0.500 0.500 0.500
Ir 0.000 0.000 0.500
Ir 0.000 0.500 0.000
Ir 0.500 0.000 0.000



Ag4HIr2: optimized geometry, PBE.

Values from the calculation:
SG	I4/mmm, No. 139
total moment	0.000	μB per formula unit
uncorrected energy	-26.684	eV per cell
DOS(E_F)	5.9	states/eV/cell

Lattice parameters (Å, degrees): 7.948 7.948 7.948 152.01 152.01 40.00
Fractional positions:
Ag 0.000 0.500 0.500
Ag 0.182 0.182 0.000
Ag 0.500 0.000 0.500
Ag 0.818 0.818 0.000
H 0.000 0.000 0.000
Ir 0.362 0.362 0.000
Ir 0.638 0.638 0.000



Ag3HIr: optimized geometry, PBE.

Values from the calculation:
SG	Pm-3m, No. 221
total moment	0.000	μB per formula unit
uncorrected energy	-17.918	eV per cell
DOS(E_F)	4.9	states/eV/cell

Lattice parameters (Å, degrees): 4.126 4.126 4.126 90.00 90.00 90.00
Fractional positions:
Ag 0.000 0.000 0.500
Ag 0.000 0.500 0.000
Ag 0.500 0.000 0.000
H 0.000 0.000 0.000
Ir 0.500 0.500 0.500



AgHIr3: optimized geometry, PBE.

Values from the calculation:
SG	Pm-3m, No. 221
total moment	0.000	μB per formula unit
uncorrected energy	-30.523	eV per cell
DOS(E_F)	5.9	states/eV/cell

Lattice parameters (Å, degrees): 3.991 3.991 3.991 90.00 90.00 90.00
Fractional positions:
Ag 0.000 0.000 0.000
H 0.500 0.500 0.500
Ir 0.000 0.500 0.500
Ir 0.500 0.000 0.500
Ir 0.500 0.500 0.000



Ag2HIr: optimized geometry, PBE.

Values from the calculation:
SG	I-42d, No. 122
total moment	0.000	μB per formula unit
uncorrected energy	-29.909	eV per cell
DOS(E_F)	6.9	states/eV/cell

Lattice parameters (Å, degrees): 5.246 5.246 5.246 105.80 105.80 117.10
Fractional positions:
Ag 0.028 0.125 0.403
Ag 0.375 0.972 0.097
Ag 0.722 0.625 0.597
Ag 0.875 0.278 0.903
H 0.000 0.000 0.000
H 0.750 0.250 0.500
Ir 0.250 0.750 0.500
Ir 0.500 0.500 0.000



AgH5Ir: optimized geometry, PBE.

Values from the calculation:
SG	Immm, No. 71
total moment	0.000	μB per formula unit
uncorrected energy	-26.303	eV per cell
DOS(E_F)	1.9	states/eV/cell

Lattice parameters (Å, degrees): 4.731 4.731 4.731 137.68 111.20 84.20
Fractional positions:
Ag 0.000 0.000 0.000
H 0.183 0.500 0.683
H 0.260 0.260 0.000
H 0.500 0.000 0.500
H 0.740 0.740 0.000
H 0.817 0.500 0.317
Ir 0.500 0.500 0.000



AgHIr2: optimized geometry, PBE.

Values from the calculation:
SG	Fm-3m, No. 225
total moment	0.000	μB per formula unit
uncorrected energy	-19.127	eV per cell
DOS(E_F)	4.0	states/eV/cell

Lattice parameters (Å, degrees): 4.248 4.248 4.248 60.00 60.00 60.00
Fractional positions:
Ag 0.000 0.000 0.000
H 0.500 0.500 0.500
Ir 0.250 0.250 0.250
Ir 0.750 0.750 0.750